1.
VASP calculation (GGA+U) on a relaxed structure of CoAuO3.

Summary:
Energy = -22.568 eV per formula unit

The structure in CIF format:
```
data_CoAuO3
_chemical_formula_sum 'Co1 Au1 O3'
_space_group_name_H-M_alt 'P m -3 m'
_space_group_IT_number 221
_space_group_name_Hall '-P 4 2 3'
_cell_length_a 3.7501
_cell_length_b 3.7501
_cell_length_c 3.7501
_cell_angle_alpha 90.00
_cell_angle_beta 90.00
_cell_angle_gamma 90.00
loop_
_atom_site_label
_atom_site_type_symbol
_atom_site_fract_x
_atom_site_fract_y
_atom_site_fract_z
_atom_site_occupancy
Co1 Co 0.0000 0.0000 0.0000 1
Au1 Au 0.5000 0.5000 0.5000 1
O1 O 0.0000 0.0000 0.5000 1
```

***

2.
VASP calculation (GGA+U) on a relaxed structure of CoAuO2.

Summary:
Energy = -20.914 eV per formula unit

The structure in CIF format:
```
data_CoAuO2
_chemical_formula_sum 'Co3 Au3 O6'
_space_group_name_H-M_alt 'R -3 m'
_space_group_IT_number 166
_space_group_name_Hall '-R 3 2"'
_cell_length_a 2.8935
_cell_length_b 2.8935
_cell_length_c 18.3434
_cell_angle_alpha 90.00
_cell_angle_beta 90.00
_cell_angle_gamma 120.00
loop_
_atom_site_label
_atom_site_type_symbol
_atom_site_fract_x
_atom_site_fract_y
_atom_site_fract_z
_atom_site_occupancy
Co1 Co 0.0000 0.0000 0.0000 1
Au1 Au 0.0000 0.0000 0.5000 1
O1 O 0.0000 0.0000 0.3855 1
```

***

3.
VASP calculation (GGA+U) on a relaxed structure of CoAuO2.

Summary:
Energy = -19.346 eV per formula unit

The structure in CIF format:
```
data_CoAuO2
_chemical_formula_sum 'Co4 Au4 O8'
_space_group_name_H-M_alt 'I -4 2 d'
_space_group_IT_number 122
_space_group_name_Hall 'I -4 2bw'
_cell_length_a 5.0478
_cell_length_b 5.0478
_cell_length_c 8.8006
_cell_angle_alpha 90.00
_cell_angle_beta 90.00
_cell_angle_gamma 90.00
loop_
_atom_site_label
_atom_site_type_symbol
_atom_site_fract_x
_atom_site_fract_y
_atom_site_fract_z
_atom_site_occupancy
Co1 Co 0.0000 0.0000 0.0000 1
Au1 Au 0.0000 0.0000 0.5000 1
O1 O 0.1810 0.2500 0.1250 1
```

***

What did the second record say?
VASP calculation (GGA+U) on a relaxed structure of CoAuO2.

Summary:
Energy = -20.914 eV per formula unit

The structure in CIF format:
```
data_CoAuO2
_chemical_formula_sum 'Co3 Au3 O6'
_space_group_name_H-M_alt 'R -3 m'
_space_group_IT_number 166
_space_group_name_Hall '-R 3 2"'
_cell_length_a 2.8935
_cell_length_b 2.8935
_cell_length_c 18.3434
_cell_angle_alpha 90.00
_cell_angle_beta 90.00
_cell_angle_gamma 120.00
loop_
_atom_site_label
_atom_site_type_symbol
_atom_site_fract_x
_atom_site_fract_y
_atom_site_fract_z
_atom_site_occupancy
Co1 Co 0.0000 0.0000 0.0000 1
Au1 Au 0.0000 0.0000 0.5000 1
O1 O 0.0000 0.0000 0.3855 1
```

***

- Which of these has the highest energy?
  number 3

***

- Which formula does entry 3 have?
  CoAuO2